Compound: Mg5PbI12
Source: Alexandria
Functional: PBE-GGA
Structure: optimized geometry

volume	1485.9	Å³/cell
formation energy without anion corrections	-0.969	eV/atom
spin magnetization	0.00	Bohr magnetons per cell

Cell: 7.432 12.882 15.520 Å, 90.00 90.10 90.00°
Space group C2/m (No. 12)
One atom of each set of equivalent atoms:
Mg1 0.000 0.000 0.000 [2 per cell]
Mg2 0.000 0.167 0.500 [4 per cell]
Mg3 0.000 0.333 0.000 [4 per cell]
Pb1 0.000 0.500 0.500 [2 per cell]
I1 0.137 0.000 0.613 [4 per cell]
I2 0.166 0.167 0.894 [8 per cell]
I3 0.166 0.500 0.894 [4 per cell]
I4 0.182 0.319 0.613 [8 per cell]



Compound: MgPb2I2
Source: Alexandria
Functional: PBE-GGA
Structure: optimized geometry

energy relative to the lowest polymorph listed for this composition	0	meV per atom
volume	373.1	Å³/cell
formation energy without anion corrections	-0.039	eV/atom
spin magnetization	0.00	Bohr magnetons per cell

Cell: 4.436 4.436 18.957 Å, 90.00 90.00 90.00°
Space group I4/mmm (No. 139)
One atom of each set of equivalent atoms:
Mg1 0.000 0.000 0.000 [2 per cell]
Pb1 0.000 0.500 0.250 [4 per cell]
I1 0.000 0.000 0.402 [4 per cell]



Compound: Mg2PbI6
Source: Alexandria
Functional: PBE-GGA
Structure: optimized geometry

energy relative to the lowest polymorph listed for this composition	51	meV per atom
volume	845.9	Å³/cell
formation energy without anion corrections	-0.852	eV/atom
spin magnetization	0.00	Bohr magnetons per cell

Cell: 15.105 4.522 12.434 Å, 90.00 95.18 90.00°
Space group C2/m (No. 12)
One atom of each set of equivalent atoms:
Mg1 0.215 0.000 0.229 [4 per cell]
Pb1 0.000 0.500 0.500 [2 per cell]
I1 0.105 0.500 0.740 [4 per cell]
I2 0.141 0.000 0.430 [4 per cell]
I3 0.153 0.500 0.116 [4 per cell]



Question: What is the formation energy without anion corrections in the second record?
Answer: -0.039 eV/atom